No. 1
GeIN2 | PBE | relaxed

The structure belongs to space group R-3m (No. 166, hexagonal axes); the cell edges are 3.1810, 3.1810 and 19.3817 Å and the angles 90.00°, 90.00° and 120.00°. The distinct sites, in fractional coordinates, are Ge at (0.0000, 0.0000, 0.0000), I at (0.0000, 0.0000, 0.5000) and N at (0.0000, 0.0000, 0.3854).

The value obtained for the uncorrected energy is -4.893 eV/atom. Its magnetization is 0.00 μB per cell. Its energy above the most stable polymorph in this dataset is 0 meV/atom. Its uncorrected formation energy is 0.812 eV per atom.

***

No. 2
SrCrMo2 | PBE | relaxed

The structure belongs to space group I4/mmm (No. 139); the cell edges are 3.946, 3.946 and 9.977 Å and the angles 90.00°, 90.00° and 90.00°. The distinct sites, in fractional coordinates, are Sr at (0.000, 0.000, 0.000), Cr at (0.000, 0.000, 0.500) and Mo at (0.000, 0.500, 0.250).

The value obtained for the uncorrected energy is -7.082 eV/atom. For the energy of formation from the pure elements, the calculation gives 1.160 eV/atom. Its magnetization is 6.40 μB per cell. Its energy above the most stable polymorph in this dataset is 494 meV/atom.

***

No. 3
CaCuIr2 | PBE | relaxed

The structure belongs to space group Cmmm (No. 65); the cell edges are 3.090, 4.666 and 8.844 Å and the angles 90.00°, 90.00° and 90.00°. The distinct sites, in fractional coordinates, are Ca at (0.000, 0.000, 0.000), Cu at (0.000, 0.000, 0.500) and Ir at (0.000, 0.500, 0.267).

The value obtained for the uncorrected energy is -5.680 eV/atom. For the energy of formation from the pure elements, the calculation gives 0.275 eV/atom. Its magnetization is 0.00 μB per cell. Its energy above the most stable polymorph in this dataset is 252 meV/atom.

***

No. 4
Li2Ir2F | PBE | relaxed

The structure belongs to space group I4/mmm (No. 139); the cell edges are 3.455, 3.455 and 14.607 Å and the angles 90.00°, 90.00° and 90.00°. The distinct sites, in fractional coordinates, are Li at (0.000, 0.000, 0.092), Ir at (0.000, 0.500, 0.250) and F at (0.000, 0.000, 0.500).

The value obtained for the uncorrected energy is -5.175 eV/atom. Its magnetization is 0.00 μB per cell. Its energy above the most stable polymorph in this dataset is 226 meV/atom. Its uncorrected formation energy is -0.490 eV per atom.

***

No. 5
Tm2Be12CuNi3 | PBE | relaxed

The structure belongs to space group R-3m (No. 166, hexagonal axes); the cell edges are 7.0247, 7.0247 and 17.2554 Å and the angles 90.00°, 90.00° and 120.00°. The distinct sites, in fractional coordinates, are Tm at (0.0000, 0.0000, 0.0984), Be at (0.0182, 0.5091, 0.1262), Be at (0.1013, 0.2026, 0.7390), Cu at (0.0000, 0.0000, 0.5000) and Ni at (0.0000, 0.5000, 0.0000).

The value obtained for the uncorrected energy is -3.772 eV/atom. For the energy of formation from the pure elements, the calculation gives 0.400 eV/atom. Its magnetization is 0.00 μB per cell.

***

No. 6
CoOs3 | PBE | relaxed

The structure belongs to space group Imm2 (No. 44); the cell edges are 2.729, 8.517 and 4.649 Å and the angles 90.00°, 90.00° and 90.00°. The distinct sites, in fractional coordinates, are Co at (0.000, 0.000, 0.000), Os at (0.000, 0.252, 0.334) and Os at (0.000, 0.500, 0.995).

The value obtained for the uncorrected energy is -10.094 eV/atom. For the energy of formation from the pure elements, the calculation gives 0.105 eV/atom. Its magnetization is 1.16 μB per cell.